Entry 1:
A plane-wave DFT calculation with meta-GGA SCAN was carried out for Ba2ZnCuSb2F14 at its PBEsol-relaxed geometry.

Volume, Å³/cell: 597
DFT total energy, eV for the cell shown: -577.0

Cell lengths 5.1839, 7.5958, 16.1195 Å; angles 89.87, 90.00, 109.95 degrees
With the nearest neighbours (Å) after each atom.
Fractional positions:
1 Ba 0.2616 0.3560 0.1275  8 F 2.58-2.86
2 Ba 0.0944 0.3560 0.6275  8 F 2.58-2.86
3 Ba 0.7384 0.6440 0.8725  8 F 2.58-2.86
4 Ba 0.9056 0.6440 0.3725  8 F 2.58-2.86
5 Zn 0.5505 0.0000 0.2500  4 F 1.93-1.97
6 Zn 0.4495 0.0000 0.7500  4 F 1.93-1.97
7 Cu 0.5000 0.0000 0.5000  4 F 1.89-1.93
8 Cu 0.5000 0.0000 0.0000  4 F 1.89-1.93
9 Sb 0.1583 0.2258 0.3769  4 F 2.07-2.22
10 Sb 0.8417 0.7742 0.6231  4 F 2.07-2.22
11 Sb 0.0675 0.2258 0.8769  4 F 2.07-2.22
12 Sb 0.9325 0.7742 0.1231  4 F 2.07-2.22
13 F 0.1530 0.9765 0.8301  1 Zn 1.97
14 F 0.4263 0.2939 0.9460  1 Sb 2.08
15 F 0.5737 0.7061 0.0540  1 Sb 2.08
16 F 0.8588 0.4890 0.1015  1 Sb 2.10
17 F 0.4005 0.0639 0.1053  1 Cu 1.89
18 F 0.3366 0.9361 0.3947  1 Cu 1.89
19 F 0.8677 0.2939 0.4460  1 Sb 2.08
20 F 0.1766 0.0235 0.6699  1 Zn 1.97
21 F 0.0093 0.3499 0.2830  1 Sb 2.07
22 F 0.1412 0.5110 0.8985  1 Sb 2.10
23 F 0.4382 0.2171 0.2607  1 Zn 1.93
24 F 0.3698 0.5110 0.3985  1 Sb 2.10
25 F 0.7789 0.2171 0.7607  1 Zn 1.93
26 F 0.5618 0.7829 0.7393  1 Zn 1.93
27 F 0.6634 0.0639 0.6053  1 Cu 1.89
28 F 0.9907 0.6501 0.7170  1 Sb 2.07
29 F 0.7198 0.8420 0.4860  1 Cu 1.93
30 F 0.8470 0.0235 0.1699  1 Zn 1.97
31 F 0.2802 0.1580 0.5140  1 Cu 1.93
32 F 0.1222 0.8420 0.9860  1 Cu 1.93
33 F 0.1323 0.7061 0.5540  1 Sb 2.08
34 F 0.2211 0.7829 0.2393  1 Zn 1.93
35 F 0.3405 0.3499 0.7830  1 Sb 2.07
36 F 0.8778 0.1580 0.0140  1 Cu 1.93
37 F 0.5995 0.9361 0.8947  1 Cu 1.89
38 F 0.8234 0.9765 0.3301  1 Zn 1.97
39 F 0.6595 0.6501 0.2170  1 Sb 2.07
40 F 0.6302 0.4890 0.6015  1 Sb 2.10

***

Entry 2:
A plane-wave DFT calculation with meta-GGA SCAN was carried out for SrNdCo2O6 at its PBEsol-relaxed geometry.

Volume, Å³/cell: 107
DFT total energy, eV for the cell shown: -160.8

Cell lengths 5.2986, 5.3168, 5.3168 Å; angles 60.85, 60.11, 60.11 degrees
With the nearest neighbours (Å) after each atom.
Fractional positions:
1 Sr 0.0000 0.0001 0.9999  7 O 2.44-2.67
2 Nd 0.5000 0.5070 0.4930  5 O 2.37-2.44
3 Co 0.2497 0.2505 0.2502  6 O 1.88-1.91
4 Co 0.7503 0.7498 0.7495  6 O 1.88-1.91
5 O 0.0000 0.4542 0.5458  2 Co 1.88
6 O 0.5000 0.0677 0.9323  2 Co 1.91
7 O 0.0378 0.9620 0.4767  2 Co 1.90-1.91
8 O 0.9622 0.5233 0.0380  2 Co 1.90-1.91
9 O 0.5235 0.9620 0.4767  2 Co 1.90-1.91
10 O 0.4765 0.5233 0.0380  2 Co 1.90-1.91